A plane-wave DFT calculation with PBE with a Hubbard U was carried out for a relaxed structure of Ba2TcNiF.

Geometry as POSCAR:
```
Ba2TcNiF
1.0
-0.7363 -0.0965 5.7743
-1.8393 -3.9778 -0.3010
5.2355 -2.4682 0.6263
Ba Ni F Tc
2 1 1 1
Direct
0.5000 0.0000 0.0000 Ba
0.0000 0.0000 0.5000 Ba
0.0000 0.5000 0.0000 Ni
0.5000 0.5000 0.5000 F
0.0000 0.0000 0.0000 Tc
```

Results
The calculation puts the spin magnetization at 0.0 μB/f.u. The total energy is -3.7419 eV per atom.